No. 1
Tb2DyEr2Mg5: optimized geometry, PBE.

Computed properties:
ΔH_f (0 K) = 69 meV/atom
DOS at the Fermi energy = 0.7480 states/eV per atom

Cell lengths 5.053, 10.544, 10.544 Å; angles 90.00, 90.00, 90.00 degrees
Element x y z (fractional)
Mg 0.500 0.430 0.302
Mg 0.500 0.500 0.000
Mg 0.500 0.000 0.500
Mg 0.500 0.570 0.698
Mg 0.500 0.802 0.930
Mg 0.500 0.198 0.070
Mg 0.500 0.930 0.198
Mg 0.500 0.070 0.802
Mg 0.500 0.698 0.430
Mg 0.500 0.302 0.570
Tb 0.000 0.678 0.178
Tb 0.000 0.322 0.822
Tb 0.000 0.822 0.678
Tb 0.000 0.178 0.322
Er 0.000 0.118 0.618
Er 0.000 0.882 0.382
Er 0.000 0.618 0.882
Er 0.000 0.382 0.118
Dy 0.000 0.500 0.500
Dy 0.000 0.000 0.000

---

No. 2
Ca3Ac8Sm2: optimized geometry, PBE.

Computed properties:
ΔH_f (0 K) = 85 meV/atom
DOS at the Fermi energy = 1.4853 states/eV per atom

Cell lengths 3.945, 13.069, 13.073 Å; angles 58.09, 98.64, 98.64 degrees
Element x y z (fractional)
Ac 0.861 0.863 0.862
Ac 0.139 0.137 0.138
Ac 0.423 0.421 0.421
Ac 0.676 0.920 0.429
Ac 0.676 0.429 0.920
Ac 0.577 0.579 0.579
Ac 0.324 0.080 0.571
Ac 0.324 0.571 0.080
Ca 0.000 0.258 0.742
Ca 0.500 0.000 0.000
Ca 0.000 0.742 0.258
Sm 0.222 0.722 0.722
Sm 0.778 0.278 0.278

---

No. 3
IrOs3: optimized geometry, PBE.

Computed properties:
ΔH_f (0 K) = 18 meV/atom
DOS at the Fermi energy = 0.7228 states/eV per atom

Cell lengths 4.777, 5.155, 2.757 Å; angles 74.49, 90.00, 117.60 degrees
Element x y z (fractional)
Ir 0.997 0.000 0.000
Os 0.582 0.496 0.752
Os 0.086 0.504 0.248
Os 0.501 0.000 0.500

---

No. 4
LiH3Pd: optimized geometry, PBE.

Computed properties:
DOS at the Fermi energy = 0.2016 states/eV per atom

Cell lengths 3.450, 3.450, 8.720 Å; angles 78.59, 78.59, 90.00 degrees
Element x y z (fractional)
H 0.073 0.459 0.855
H 0.541 0.927 0.145
H 0.672 0.672 0.657
H 0.073 0.686 0.855
H 0.314 0.927 0.145
H 0.328 0.328 0.343
Pd 0.834 0.334 0.332
Pd 0.666 0.166 0.668
Li 0.250 0.750 0.500
Li 0.000 0.000 0.000

---

No. 5
Ho4Te2IrS: optimized geometry, PBE.

Computed properties:
DOS at the Fermi energy = 0.6296 states/eV per atom
Energy relative to the elements, uncorrected = -10.84 eV per formula unit

Cell lengths 4.080, 7.284, 7.416 Å; angles 108.37, 90.00, 90.00 degrees
Element x y z (fractional)
Ho 0.500 0.755 0.790
Ho 0.500 0.245 0.210
Ho 0.000 0.276 0.796
Ho 0.000 0.724 0.204
Te 0.000 0.500 0.500
Te 0.500 0.000 0.500
Ir 0.500 0.500 0.000
S 0.000 0.000 0.000

---

No. 6
Bi2HPd3: optimized geometry, PBE.

Computed properties:
Energy relative to the lowest polymorph listed for this composition = 0.00 eV per formula unit
DOS at the Fermi energy = 0.4605 states/eV per atom

Cell lengths 3.600, 6.611, 9.205 Å; angles 90.00, 101.33, 90.00 degrees
Element x y z (fractional)
Bi 0.001 0.250 0.003
Bi 0.202 0.750 0.397
Bi 0.999 0.750 0.997
Bi 0.798 0.250 0.603
Pd 0.402 0.476 0.805
Pd 0.170 0.250 0.340
Pd 0.598 0.524 0.195
Pd 0.402 0.025 0.804
Pd 0.830 0.750 0.660
Pd 0.598 0.975 0.196
H 0.642 0.250 0.285
H 0.358 0.750 0.715

---

no.,magnetization (μB/f.u.),VASP energy (eV/atom)
1,0.00,-3.03
2,0.00,-3.63
3,0.00,-10.62
4,0.00,-3.38
5,0.00,-6.05
6,0.00,-4.62